Crystalline Ba2Ga3Sn at its relaxed geometry. Source: Alexandria via LeMat-Bulk, functional PBE.

Unit cell a=4.585 b=5.142 c=7.928 alpha=90.00 beta=90.00 gamma=90.00
Space group Pmm2 (No. 25)
Unique sites:
Ba1 0.000 0.000 0.000 [1 per cell]
Ba2 0.500 0.000 0.495 [1 per cell]
Ga1 0.000 0.500 0.315 [1 per cell]
Ga2 0.500 0.500 0.169 [1 per cell]
Ga3 0.500 0.500 0.849 [1 per cell]
Sn1 0.000 0.500 0.663 [1 per cell]

For the formation energy, the calculation gives -3.2 eV/f.u. For the total energy, the calculation gives -3.349 eV/atom. Its relative energy among the computed polymorphs is 6 meV/atom.